(1)
LuTiCoTc after structural relaxation. Source: Alexandria via LeMat-Bulk, functional PBE-GGA.

Geometry as POSCAR:
```
LuTiCoTc
1.0
4.4808 0.0000 0.0000
2.2404 3.8805 0.0000
2.2404 1.2935 3.6585
Ti Co Lu Tc
1 1 1 1
Cartesian
2.2404 1.2935 0.9146
0.0000 0.0000 0.0000
6.7212 3.8805 2.7439
4.4808 2.5870 1.8293
```

Calculated values
Space-group type: F-43m (216)
Magnetic moment (μB/f.u.): 0.00
DFT formation energy (eV/atom): -0.238

---

(2)
K4NaHg3 after structural relaxation. Source: Alexandria via LeMat-Bulk, functional PBE-GGA.

Geometry as POSCAR:
```
K4NaHg3
1.0
-3.4605 -3.3480 -1.3988
0.9162 -2.7540 4.3250
-9.2148 6.8789 6.3323
K Hg Na
4 3 1
Cartesian
-4.6688 -0.5154 3.7972
-7.6625 2.7544 3.3771
-1.4217 1.0613 0.9770
-7.3028 4.4165 7.4956
-10.2633 4.6960 5.1644
-4.7570 2.5161 5.7462
-4.0401 3.0159 2.7763
-1.8318 -2.6332 1.8476
```

Calculated values
Space-group type: Pmm2 (25)
Magnetic moment (μB/f.u.): 0.00
DFT formation energy (eV/atom): -0.177

---

(3)
MnGa2Os after structural relaxation. Source: Alexandria via LeMat-Bulk, functional PBE-GGA.

Geometry as POSCAR:
```
MnGa2Os
1.0
-2.5672 1.5758 -0.9900
-1.7681 -0.5148 3.7656
1.7107 3.6008 1.2955
Ga Os Mn
2 1 1
Cartesian
0.8553 1.8004 0.6477
-0.8840 -0.2574 1.8828
-1.2836 0.7879 -0.4950
-1.3123 2.3309 2.0355
```

Calculated values
Space-group type: P4/mmm (123)
Magnetic moment (μB/f.u.): 2.66
DFT formation energy (eV/atom): 0.009
Offset from the most stable computed form (meV/atom): 31.3

---

(4)
Y2Tl2I after structural relaxation. Source: Alexandria via LeMat-Bulk, functional PBE-GGA.

Geometry as POSCAR:
```
Y2Tl2I
1.0
9.0121 0.0000 0.0000
0.0000 9.0121 0.0000
0.0000 0.0000 3.7890
Tl Y I
4 4 2
Cartesian
7.9493 5.5689 0.0000
1.0628 3.4432 0.0000
3.4432 7.9493 0.0000
5.5689 1.0628 0.0000
7.3510 2.8450 1.8945
1.6611 6.1671 1.8945
2.8450 1.6611 1.8945
6.1671 7.3510 1.8945
0.0000 0.0000 0.0000
4.5060 4.5060 0.0000
```

Calculated values
Space-group type: P4/mbm (127)
Magnetic moment (μB/f.u.): 0.00
Offset from the most stable computed form (meV/atom): 225.7
Formation energy without anion corrections (eV per formula unit): -1.210

---

(5)
LiRuPb2O6 after structural relaxation. Source: Alexandria via LeMat-Bulk, functional PBE-GGA.

Geometry as POSCAR:
```
LiRuPb2O6
1.0
-4.3383 -1.3490 -3.1824
-1.7706 -3.6387 3.9560
-4.5216 5.8327 3.3411
Ru O Pb Li
2 12 4 2
Cartesian
-0.8853 -1.8194 1.9780
-4.4299 2.2419 0.0793
-1.5137 -0.6740 0.5217
-7.2990 -0.7540 2.5384
-3.9884 0.5792 -0.8526
-6.6421 0.2659 4.9673
-6.0333 1.3839 0.8011
-3.3315 1.5991 1.5763
-9.1168 1.5190 3.5930
-5.8400 -1.8650 0.1182
-7.9483 3.4569 2.0732
-4.7905 2.7101 3.9965
-2.6822 -2.6118 2.0415
-4.5972 -0.5388 3.3136
-7.6805 2.8171 -0.4336
-2.9500 -1.9721 4.5483
-6.6752 1.7181 3.0531
-3.9553 -0.8730 1.0616
-2.1691 -0.6745 -1.5912
-3.1461 1.0970 3.6486
```

Calculated values
Space-group type: P2_1/c (14)
Magnetic moment (μB/f.u.): 1.21
Formation energy without anion corrections (eV per formula unit): -11.365

---

(6)
Ta5As2 after structural relaxation. Source: Alexandria via LeMat-Bulk, functional PBE-GGA.

Geometry as POSCAR:
```
Ta5As2
1.0
-5.1665 -0.0692 -2.1521
2.3871 -0.6599 -5.7095
2.1816 -7.0275 2.2673
Ta As
10 4
Cartesian
-3.2231 -5.8309 -0.7014
-0.1988 -3.7681 -4.6430
-2.6343 -0.2082 -2.7733
2.2407 -4.2990 -3.2037
-1.0729 -6.1480 -3.1576
-0.3989 -3.9885 -0.9513
-0.1450 -0.5208 -5.0883
-2.8384 -3.4575 -2.3906
0.4751 -1.6085 -2.4366
2.6254 -1.9256 -4.8928
-1.6212 -1.6563 -0.9362
1.5315 -5.7475 -1.0945
1.0234 -6.1002 -4.6581
-2.1293 -2.0090 -4.4997
```

Calculated values
Space-group type: C2/c (15)
Magnetic moment (μB/f.u.): 0.00
DFT formation energy (eV/atom): -0.160

---

(7)
Ac2PdI after structural relaxation. Source: Alexandria via LeMat-Bulk, functional PBE-GGA.

Geometry as POSCAR:
```
Ac2PdI
1.0
-1.3127 -2.1434 3.6997
2.0468 -3.7783 1.2408
5.9381 2.6543 6.3483
Pd I Ac
1 1 2
Cartesian
6.4188 -1.3007 9.6346
3.3494 -1.6230 5.6553
1.3057 -1.1114 2.5229
4.8727 1.7882 5.4684
```

Calculated values
Space-group type: R3m (160)
Magnetic moment (μB/f.u.): 0.00
Offset from the most stable computed form (meV/atom): 4.9
Formation energy without anion corrections (eV per formula unit): -3.859

---

(8)
NbOsRh2 after structural relaxation. Source: Alexandria via LeMat-Bulk, functional PBE-GGA.

Geometry as POSCAR:
```
NbOsRh2
1.0
-0.3676 2.4456 3.0760
0.6412 -2.9701 2.4380
3.8254 0.7268 -0.1207
Rh Nb Os
2 1 1
Cartesian
0.3206 -1.4851 1.2190
1.9127 0.3634 -0.0603
-0.1838 1.2228 1.5380
2.0495 0.1011 2.6967
```

Calculated values
Space-group type: P4/mmm (123)
Magnetic moment (μB/f.u.): 0.00
DFT formation energy (eV/atom): -0.347
Offset from the most stable computed form (meV/atom): 7.7